[1]
Material: CuTeAu
Method: DFT, PBE-GGA
State: relaxed Values from VASP.

## Properties
Formation energy from raw total energies: 0.01 eV/atom
Symmetry: C2/m, No. 12

```
&SYSTEM
  ibrav = 0, nat = 6, ntyp = 3
/
ATOMIC_SPECIES
Te 127.60 Te.upf
Cu 63.55 Cu.upf
Au 196.97 Au.upf
ATOMIC_POSITIONS angstrom
Te -0.459 -3.318 1.584
Cu 2.890 -6.404 2.481
Cu -0.075 -1.299 -0.130
Au 4.628 -4.463 3.230
Te 3.275 -4.385 0.767
Au -1.812 -3.240 -0.879
CELL_PARAMETERS angstrom
-1.221 -0.287 3.574
-2.556 -2.860 -3.110
6.593 -4.557 1.887
```

[2]
Material: CuTe4Au2
Method: DFT, PBE-GGA
State: relaxed Values from VASP.

## Properties
Formation energy from raw total energies: 0.20 eV/atom
Symmetry: I4/mmm, No. 139

```
&SYSTEM
  ibrav = 0, nat = 7, ntyp = 3
/
ATOMIC_SPECIES
Au 196.97 Au.upf
Te 127.60 Te.upf
Cu 63.55 Cu.upf
ATOMIC_POSITIONS angstrom
Au 1.506 0.602 3.535
Te 1.254 -1.568 1.576
Cu 0.000 0.000 0.000
Te 4.000 1.954 7.030
Te -0.901 1.295 2.006
Te 3.586 2.181 3.450
Au 6.080 3.533 6.945
CELL_PARAMETERS angstrom
-1.803 2.590 4.012
2.508 -3.136 3.151
6.880 4.681 3.316
```